! TlGaI2 (meta-GGA SCAN, PBEsol geometry); values from VASP
! Offset from the most stable computed form: 0.000 eV/atom
! Total energy: -163.673 eV/cell
! Energy relative to the elements, uncorrected: -143 kJ/mol of formula units
&SYSTEM
  ibrav = 0, nat = 4, ntyp = 3
/
ATOMIC_SPECIES
Tl 204.38 Tl.upf
Ga 69.72 Ga.upf
I 126.90 I.upf
CELL_PARAMETERS angstrom
0.000 4.034 4.034
4.034 0.000 4.034
4.034 4.034 0.000
ATOMIC_POSITIONS crystal
Tl 0.000 0.000 0.000
Ga 0.500 0.500 0.500
I 0.250 0.250 0.250
I 0.750 0.750 0.750

***

! Tl2GaWI (meta-GGA SCAN, PBEsol geometry); values from VASP
! Total energy: -262.864 eV/cell
! Energy relative to the elements, uncorrected: 447 kJ/mol of formula units
&SYSTEM
  ibrav = 0, nat = 5, ntyp = 4
/
ATOMIC_SPECIES
Tl 204.38 Tl.upf
Ga 69.72 Ga.upf
W 183.84 W.upf
I 126.90 I.upf
CELL_PARAMETERS angstrom
5.430 0.000 0.000
0.000 5.430 0.000
0.000 0.000 5.154
ATOMIC_POSITIONS crystal
Tl 0.000 0.500 0.000
Tl 0.500 0.000 0.000
Ga 0.000 0.000 0.500
W 0.500 0.500 0.000
I 0.500 0.500 0.500

***

! ZrTlGaI2 (meta-GGA SCAN, PBEsol geometry); values from VASP
! Total energy: -193.270 eV/cell
! Energy relative to the elements, uncorrected: -37 kJ/mol of formula units
&SYSTEM
  ibrav = 0, nat = 5, ntyp = 4
/
ATOMIC_SPECIES
Zr 91.22 Zr.upf
Tl 204.38 Tl.upf
Ga 69.72 Ga.upf
I 126.90 I.upf
CELL_PARAMETERS angstrom
5.599 0.000 0.000
0.000 5.599 0.000
0.000 0.000 5.374
ATOMIC_POSITIONS crystal
Zr 0.000 0.000 0.000
Tl 0.500 0.500 0.500
Ga 0.000 0.000 0.500
I 0.000 0.500 0.000
I 0.500 0.000 0.000

***

! YGa2I (meta-GGA SCAN, PBEsol geometry); values from VASP
! Total energy: -96.568 eV/cell
! Energy relative to the elements, uncorrected: 68 kJ/mol of formula units
&SYSTEM
  ibrav = 0, nat = 4, ntyp = 3
/
ATOMIC_SPECIES
Y 88.91 Y.upf
Ga 69.72 Ga.upf
I 126.90 I.upf
CELL_PARAMETERS angstrom
0.000 3.673 3.673
3.673 0.000 3.673
3.673 3.673 0.000
ATOMIC_POSITIONS crystal
Y 0.000 0.000 0.000
Ga 0.250 0.250 0.250
Ga 0.750 0.750 0.750
I 0.500 0.500 0.500

***

! YGaI (meta-GGA SCAN, PBEsol geometry); values from VASP
! Total energy: -169.087 eV/cell
! Energy relative to the elements, uncorrected: -349 kJ/mol of formula units
&SYSTEM
  ibrav = 0, nat = 6, ntyp = 3
/
ATOMIC_SPECIES
Y 88.91 Y.upf
Ga 69.72 Ga.upf
I 126.90 I.upf
CELL_PARAMETERS angstrom
4.133 0.000 0.000
-2.067 3.580 0.000
0.000 0.000 11.391
ATOMIC_POSITIONS crystal
Y 0.000 0.000 0.175
Y 0.000 0.000 0.825
Ga 0.333 0.667 0.973
Ga 0.667 0.333 0.027
I 0.333 0.667 0.347
I 0.667 0.333 0.653

***

! In3Ga (meta-GGA SCAN, PBEsol geometry); values from VASP
! Total energy: -116.067 eV/cell
&SYSTEM
  ibrav = 0, nat = 4, ntyp = 2
/
ATOMIC_SPECIES
In 114.82 In.upf
Ga 69.72 Ga.upf
CELL_PARAMETERS angstrom
-2.329 2.329 4.323
2.329 -2.329 4.323
2.329 2.329 -4.323
ATOMIC_POSITIONS crystal
In 0.000 0.000 0.000
In 0.250 0.750 0.500
In 0.750 0.250 0.500
Ga 0.500 0.500 0.000

***

! KIn2Ga2 (meta-GGA SCAN, PBEsol geometry); values from VASP
! Total energy: -108.750 eV/cell
&SYSTEM
  ibrav = 0, nat = 5, ntyp = 3
/
ATOMIC_SPECIES
K 39.10 K.upf
In 114.82 In.upf
Ga 69.72 Ga.upf
CELL_PARAMETERS angstrom
-2.292 2.292 6.065
2.292 -2.292 6.065
2.292 2.292 -6.065
ATOMIC_POSITIONS crystal
K 0.000 0.000 0.000
In 0.382 0.382 0.000
In 0.618 0.618 0.000
Ga 0.250 0.750 0.500
Ga 0.750 0.250 0.500

***

! Li2InGa (meta-GGA SCAN, PBEsol geometry); values from VASP
! Total energy: -55.844 eV/cell
&SYSTEM
  ibrav = 0, nat = 4, ntyp = 3
/
ATOMIC_SPECIES
Li 6.94 Li.upf
In 114.82 In.upf
Ga 69.72 Ga.upf
CELL_PARAMETERS angstrom
0.000 3.224 3.224
3.224 0.000 3.224
3.224 3.224 0.000
ATOMIC_POSITIONS crystal
Li 0.250 0.250 0.250
Li 0.750 0.750 0.750
In 0.000 0.000 0.000
Ga 0.500 0.500 0.500

***

! LiMgInGa2 (meta-GGA SCAN, PBEsol geometry); values from VASP
! Total energy: -71.634 eV/cell
&SYSTEM
  ibrav = 0, nat = 5, ntyp = 4
/
ATOMIC_SPECIES
Li 6.94 Li.upf
Mg 24.30 Mg.upf
In 114.82 In.upf
Ga 69.72 Ga.upf
CELL_PARAMETERS angstrom
5.043 0.000 0.000
0.000 5.043 0.000
0.000 0.000 5.367
ATOMIC_POSITIONS crystal
Li 0.000 0.000 0.000
Mg 0.500 0.500 0.500
In 0.500 0.500 0.000
Ga 0.000 0.500 0.500
Ga 0.500 0.000 0.500

***

! Mg2InGa (meta-GGA SCAN, PBEsol geometry); values from VASP
! Total energy: -60.355 eV/cell
&SYSTEM
  ibrav = 0, nat = 4, ntyp = 3
/
ATOMIC_SPECIES
Mg 24.30 Mg.upf
In 114.82 In.upf
Ga 69.72 Ga.upf
CELL_PARAMETERS angstrom
0.000 3.464 3.464
3.464 0.000 3.464
3.464 3.464 0.000
ATOMIC_POSITIONS crystal
Mg 0.250 0.250 0.250
Mg 0.750 0.750 0.750
In 0.000 0.000 0.000
Ga 0.500 0.500 0.500

***

! MgInGa3 (meta-GGA SCAN, PBEsol geometry); values from VASP
! Total energy: -84.951 eV/cell
&SYSTEM
  ibrav = 0, nat = 5, ntyp = 3
/
ATOMIC_SPECIES
Mg 24.30 Mg.upf
In 114.82 In.upf
Ga 69.72 Ga.upf
CELL_PARAMETERS angstrom
5.044 0.000 0.000
0.000 5.044 0.000
0.000 0.000 5.044
ATOMIC_POSITIONS crystal
Mg 0.000 0.000 0.000
In 0.500 0.500 0.500
Ga 0.000 0.000 0.500
Ga 0.000 0.500 0.000
Ga 0.500 0.000 0.000

***

! Mn2InGa (meta-GGA SCAN, PBEsol geometry); values from VASP
! Total energy: -86.468 eV/cell
&SYSTEM
  ibrav = 0, nat = 4, ntyp = 3
/
ATOMIC_SPECIES
Mn 54.94 Mn.upf
In 114.82 In.upf
Ga 69.72 Ga.upf
CELL_PARAMETERS angstrom
0.000 3.096 3.096
3.096 0.000 3.096
3.096 3.096 0.000
ATOMIC_POSITIONS crystal
Mn 0.250 0.250 0.250
Mn 0.750 0.750 0.750
In 0.000 0.000 0.000
Ga 0.500 0.500 0.500

***

! InGa2N2 (meta-GGA SCAN, PBEsol geometry); values from VASP
! Total energy: -82.723 eV/cell
! Energy relative to the elements, uncorrected: 187 kJ/mol of formula units
&SYSTEM
  ibrav = 0, nat = 5, ntyp = 3
/
ATOMIC_SPECIES
In 114.82 In.upf
Ga 69.72 Ga.upf
N 14.01 N.upf
CELL_PARAMETERS angstrom
-1.931 1.931 5.792
1.931 -1.931 5.792
1.931 1.931 -5.792
ATOMIC_POSITIONS crystal
In 0.000 0.000 0.000
Ga 0.250 0.750 0.500
Ga 0.750 0.250 0.500
N 0.293 0.293 0.000
N 0.707 0.707 0.000

***

! InGa2N3 (meta-GGA SCAN, PBEsol geometry); values from VASP
! Total energy: -193.160 eV/cell
! Energy relative to the elements, uncorrected: -253 kJ/mol of formula units
&SYSTEM
  ibrav = 0, nat = 12, ntyp = 3
/
ATOMIC_SPECIES
In 114.82 In.upf
Ga 69.72 Ga.upf
N 14.01 N.upf
CELL_PARAMETERS angstrom
4.951 -2.856 0.000
4.951 2.856 0.000
0.000 0.000 5.333
ATOMIC_POSITIONS crystal
In 0.175 0.825 0.500
In 0.825 0.175 0.000
Ga 0.166 0.493 0.997
Ga 0.493 0.166 0.497
Ga 0.507 0.834 0.997
Ga 0.834 0.507 0.497
N 0.166 0.473 0.631
N 0.193 0.807 0.094
N 0.473 0.166 0.131
N 0.527 0.834 0.631
N 0.807 0.193 0.594
N 0.834 0.527 0.131

***

! InGa3N4 (meta-GGA SCAN, PBEsol geometry); values from VASP
! Total energy: -123.064 eV/cell
! Energy relative to the elements, uncorrected: -335 kJ/mol of formula units
&SYSTEM
  ibrav = 0, nat = 8, ntyp = 3
/
ATOMIC_SPECIES
In 114.82 In.upf
Ga 69.72 Ga.upf
N 14.01 N.upf
CELL_PARAMETERS angstrom
3.263 0.000 0.000
-1.632 2.826 0.000
0.000 0.000 10.712
ATOMIC_POSITIONS crystal
In 0.000 0.000 0.000
Ga 0.000 0.000 0.499
Ga 0.333 0.667 0.260
Ga 0.333 0.667 0.739
N 0.000 0.000 0.203
N 0.000 0.000 0.681
N 0.333 0.667 0.442
N 0.333 0.667 0.918

***

! InGaS2N (meta-GGA SCAN, PBEsol geometry); values from VASP
! Total energy: -74.716 eV/cell
! Energy relative to the elements, uncorrected: 344 kJ/mol of formula units
&SYSTEM
  ibrav = 0, nat = 5, ntyp = 4
/
ATOMIC_SPECIES
In 114.82 In.upf
Ga 69.72 Ga.upf
S 32.06 S.upf
N 14.01 N.upf
CELL_PARAMETERS angstrom
5.072 0.000 0.000
0.000 5.072 0.000
0.000 0.000 4.173
ATOMIC_POSITIONS crystal
In 0.000 0.000 0.000
Ga 0.500 0.500 0.500
S 0.000 0.500 0.000
S 0.500 0.000 0.000
N 0.000 0.000 0.500

***

! InGaSeN2 (meta-GGA SCAN, PBEsol geometry); values from VASP
! Total energy: -82.470 eV/cell
! Energy relative to the elements, uncorrected: 572 kJ/mol of formula units
&SYSTEM
  ibrav = 0, nat = 5, ntyp = 4
/
ATOMIC_SPECIES
In 114.82 In.upf
Ga 69.72 Ga.upf
Se 78.96 Se.upf
N 14.01 N.upf
CELL_PARAMETERS angstrom
4.183 0.000 0.000
0.000 4.183 0.000
0.000 0.000 5.640
ATOMIC_POSITIONS crystal
In 0.000 0.000 0.000
Ga 0.500 0.500 0.500
Se 0.000 0.000 0.500
N 0.000 0.500 0.000
N 0.500 0.000 0.000

***

! Na2In2Ga (meta-GGA SCAN, PBEsol geometry); values from VASP
! Total energy: -184.472 eV/cell
&SYSTEM
  ibrav = 0, nat = 10, ntyp = 3
/
ATOMIC_SPECIES
Na 22.99 Na.upf
In 114.82 In.upf
Ga 69.72 Ga.upf
CELL_PARAMETERS angstrom
7.108 0.000 0.000
0.000 7.108 0.000
0.000 0.000 5.129
ATOMIC_POSITIONS crystal
Na 0.170 0.330 0.000
Na 0.330 0.830 0.000
Na 0.670 0.170 0.000
Na 0.830 0.670 0.000
In 0.142 0.642 0.500
In 0.358 0.142 0.500
In 0.642 0.858 0.500
In 0.858 0.358 0.500
Ga 0.000 0.000 0.500
Ga 0.500 0.500 0.500

***

! InGa3Ni (meta-GGA SCAN, PBEsol geometry); values from VASP
! Total energy: -98.717 eV/cell
&SYSTEM
  ibrav = 0, nat = 5, ntyp = 3
/
ATOMIC_SPECIES
In 114.82 In.upf
Ga 69.72 Ga.upf
Ni 58.69 Ni.upf
CELL_PARAMETERS angstrom
4.577 0.000 0.000
0.000 4.577 0.000
0.000 0.000 4.577
ATOMIC_POSITIONS crystal
In 0.000 0.000 0.000
Ga 0.000 0.500 0.500
Ga 0.500 0.000 0.500
Ga 0.500 0.500 0.000
Ni 0.500 0.500 0.500

***

! InGaSnO5 (meta-GGA SCAN, PBEsol geometry); values from VASP
! Total energy: -527.185 eV/cell
! Energy relative to the elements, uncorrected: -1446 kJ/mol of formula units
&SYSTEM
  ibrav = 0, nat = 32, ntyp = 4
/
ATOMIC_SPECIES
In 114.82 In.upf
Ga 69.72 Ga.upf
Sn 118.71 Sn.upf
O 16.00 O.upf
CELL_PARAMETERS angstrom
10.938 0.000 0.000
0.000 3.226 0.000
-1.882 0.000 11.693
ATOMIC_POSITIONS crystal
In 0.118 0.000 0.170
In 0.197 0.500 0.423
In 0.803 0.500 0.577
In 0.882 0.000 0.830
Ga 0.099 0.000 0.652
Ga 0.414 0.500 0.235
Ga 0.586 0.500 0.765
Ga 0.901 0.000 0.348
Sn 0.191 0.500 0.907
Sn 0.500 0.000 0.000
Sn 0.500 0.000 0.500
Sn 0.809 0.500 0.093
O 0.004 0.500 0.864
O 0.073 0.000 0.350
O 0.128 0.500 0.584
O 0.192 0.000 0.016
O 0.200 0.000 0.794
O 0.245 0.500 0.243
O 0.314 0.000 0.474
O 0.385 0.500 0.951
O 0.452 0.000 0.166
O 0.497 0.500 0.384
O 0.503 0.500 0.616
O 0.548 0.000 0.834
O 0.615 0.500 0.049
O 0.686 0.000 0.526
O 0.755 0.500 0.757
O 0.800 0.000 0.206
O 0.808 0.000 0.984
O 0.872 0.500 0.416
O 0.927 0.000 0.650
O 0.996 0.500 0.136

***

! Zn4InGaO7 (meta-GGA SCAN, PBEsol geometry); values from VASP
! Total energy: -340.041 eV/cell
! Energy relative to the elements, uncorrected: -2181 kJ/mol of formula units
&SYSTEM
  ibrav = 0, nat = 26, ntyp = 4
/
ATOMIC_SPECIES
Zn 65.41 Zn.upf
In 114.82 In.upf
Ga 69.72 Ga.upf
O 16.00 O.upf
CELL_PARAMETERS angstrom
3.283 0.000 0.000
-1.641 2.843 0.000
0.000 0.000 32.897
ATOMIC_POSITIONS crystal
Zn 0.000 0.000 0.171
Zn 0.000 0.000 0.329
Zn 0.000 0.000 0.671
Zn 0.000 0.000 0.829
Zn 0.333 0.667 0.093
Zn 0.333 0.667 0.407
Zn 0.667 0.333 0.593
Zn 0.667 0.333 0.907
In 0.000 0.000 0.000
In 0.000 0.000 0.500
Ga 0.333 0.667 0.250
Ga 0.667 0.333 0.750
O 0.000 0.000 0.111
O 0.000 0.000 0.250
O 0.000 0.000 0.389
O 0.000 0.000 0.611
O 0.000 0.000 0.750
O 0.000 0.000 0.889
O 0.333 0.667 0.033
O 0.333 0.667 0.190
O 0.333 0.667 0.310
O 0.333 0.667 0.467
O 0.667 0.333 0.533
O 0.667 0.333 0.690
O 0.667 0.333 0.810
O 0.667 0.333 0.967

***

! Zn2InGaO5 (meta-GGA SCAN, PBEsol geometry); values from VASP
! Total energy: -248.196 eV/cell
! Energy relative to the elements, uncorrected: -1561 kJ/mol of formula units
&SYSTEM
  ibrav = 0, nat = 18, ntyp = 4
/
ATOMIC_SPECIES
Zn 65.41 Zn.upf
In 114.82 In.upf
Ga 69.72 Ga.upf
O 16.00 O.upf
CELL_PARAMETERS angstrom
3.301 0.000 0.000
-1.650 2.859 0.000
0.000 0.000 22.446
ATOMIC_POSITIONS crystal
Zn 0.333 0.667 0.135
Zn 0.333 0.667 0.365
Zn 0.667 0.333 0.635
Zn 0.667 0.333 0.865
In 0.000 0.000 0.000
In 0.000 0.000 0.500
Ga 0.000 0.000 0.250
Ga 0.000 0.000 0.750
O 0.000 0.000 0.162
O 0.000 0.000 0.338
O 0.000 0.000 0.662
O 0.000 0.000 0.838
O 0.333 0.667 0.048
O 0.333 0.667 0.250
O 0.333 0.667 0.452
O 0.667 0.333 0.548
O 0.667 0.333 0.750
O 0.667 0.333 0.952

***

! InGa2Pb2 (meta-GGA SCAN, PBEsol geometry); values from VASP
! Total energy: -217.104 eV/cell
&SYSTEM
  ibrav = 0, nat = 5, ntyp = 3
/
ATOMIC_SPECIES
In 114.82 In.upf
Ga 69.72 Ga.upf
Pb 207.20 Pb.upf
CELL_PARAMETERS angstrom
-1.879 1.879 8.908
1.879 -1.879 8.908
1.879 1.879 -8.908
ATOMIC_POSITIONS crystal
In 0.000 0.000 0.000
Ga 0.250 0.750 0.500
Ga 0.750 0.250 0.500
Pb 0.388 0.388 0.000
Pb 0.612 0.612 0.000

***

! InGa3Pb (meta-GGA SCAN, PBEsol geometry); values from VASP
! Total energy: -154.813 eV/cell
&SYSTEM
  ibrav = 0, nat = 5, ntyp = 3
/
ATOMIC_SPECIES
In 114.82 In.upf
Ga 69.72 Ga.upf
Pb 207.20 Pb.upf
CELL_PARAMETERS angstrom
5.358 0.000 0.000
0.000 5.358 0.000
0.000 0.000 5.358
ATOMIC_POSITIONS crystal
In 0.000 0.000 0.000
Ga 0.000 0.500 0.500
Ga 0.500 0.000 0.500
Ga 0.500 0.500 0.000
Pb 0.500 0.500 0.500

***

! InGaPb3 (meta-GGA SCAN, PBEsol geometry); values from VASP
! Total energy: -275.314 eV/cell
&SYSTEM
  ibrav = 0, nat = 5, ntyp = 3
/
ATOMIC_SPECIES
In 114.82 In.upf
Ga 69.72 Ga.upf
Pb 207.20 Pb.upf
CELL_PARAMETERS angstrom
5.424 0.000 0.000
0.000 5.424 0.000
0.000 0.000 5.424
ATOMIC_POSITIONS crystal
In 0.000 0.000 0.000
Ga 0.500 0.500 0.500
Pb 0.000 0.500 0.500
Pb 0.500 0.000 0.500
Pb 0.500 0.500 0.000